1.
Density functional theory data (PBE) for a geometry-optimized CoMoP2 structure.

Results
energy of formation = -0.009 eV per atom

abc: 3.4227 3.4227 8.7689
angles: 90.00 90.00 90.00
Closest atoms and distances in Å follow each position.
Space group I-4m2 (No. 119)
Inequivalent atoms, fractional coordinates:
1 Co 0.0000 0.0000 0.0000 x2  4 P 2.42
2 Mo 0.0000 0.5000 0.7500 x2  4 P 2.42
3 P 0.0000 0.0000 0.5000 x2  4 Co 2.42
4 P 0.0000 0.5000 0.2500 x2  4 Mo 2.42

---

2.
Density functional theory data (PBE) for a geometry-optimized CoMoP2 structure.

Results
energy of formation = -0.125 eV per atom

abc: 7.1264 3.0372 4.8738
angles: 90.00 102.20 90.00
Closest atoms and distances in Å follow each position.
Space group C2/m (No. 12)
Inequivalent atoms, fractional coordinates:
1 Co 0.0000 0.0000 0.0000 x2  6 P 2.28-2.40
2 Mo 0.0000 0.5000 0.5000 x2  6 P 2.45-2.53
3 P 0.2472 0.5000 0.2182 x4  3 Co 2.28-2.40, 3 Mo 2.45-2.53

---

3.
Density functional theory data (PBE) for a geometry-optimized CoMo2P structure.

Results
energy of formation = 0.050 eV per atom

abc: 3.9111 3.2973 4.1810
angles: 90.00 90.11 90.00
Closest atoms and distances in Å follow each position.
Space group P2/m (No. 10)
Inequivalent atoms, fractional coordinates:
1 Co 0.0000 0.0000 0.0000 x1  6 Mo 2.56-2.86, 4 P 2.66
2 Mo 0.5000 0.0000 0.5000 x1  4 P 2.56, 4 Mo 2.66, 2 Co 2.86
3 Mo 0.5000 0.5000 0.0000 x1  4 Co 2.56, 4 Mo 2.66, 2 P 2.86
4 P 0.0000 0.5000 0.5000 x1  6 Mo 2.56-2.86, 4 Co 2.66

---

4.
Density functional theory data (PBE) for a geometry-optimized CoMoP structure.

Results
energy of formation = 0.118 eV per atom

abc: 5.6565 5.6565 5.6565
angles: 90.00 90.00 90.00
Closest atoms and distances in Å follow each position.
Space group F-43m (No. 216)
Inequivalent atoms, fractional coordinates:
1 Co 0.0000 0.0000 0.0000 x4  4 Mo 2.45
2 Mo 0.2500 0.2500 0.2500 x4  4 Co 2.45, 4 P 2.45
3 P 0.0000 0.0000 0.5000 x4  4 Mo 2.45

---

Number 1: VASP energy -57.6 eV/cell, volume 12.84 A^3/atom. Number 2: VASP energy -58.5 eV/cell, volume 12.89 A^3/atom. Number 3: VASP energy -34.0 eV/cell, volume 13.48 A^3/atom. Number 4: VASP energy -92.0 eV/cell, volume 15.08 A^3/atom.